[1]
PuPaOs, optimized geometry, DFT PBE; N(E_F) = 16.995 states/eV/cell; distance to the lowest polymorph of the same formula = 0.106 eV per atom; total moment = 12.04 Bohr magnetons per cell; energy = -11.740 eV/atom; space-group type = P-1, No. 2
1.0
-3.2093 -0.8131 -2.4536
3.3187 -1.4908 -3.8457
0.0029 -6.4877 2.1749
Os Pa Pu
2 2 2
Cartesian
-1.6013 -5.3604 -1.3014
1.7137 -3.4313 -2.8229
0.0674 -5.6672 -3.3879
0.0450 -3.1244 -0.7364
0.0435 -6.7864 0.4843
0.0689 -2.0052 -4.6086

***

[2]
Mg5Ga5Ag2, optimized geometry, DFT PBE; N(E_F) = 3.819 states/eV/cell; distance to the lowest polymorph of the same formula = 0.015 eV per atom; total moment = 0.00 Bohr magnetons per cell; energy = -2.507 eV/atom; space-group type = C2/m, No. 12
1.0
-1.5490 -4.0282 1.8583
-1.4082 0.1754 -6.7342
8.1116 -2.1334 2.1369
Ga Mg Ag
5 5 2
Cartesian
0.0000 0.0000 0.0000
2.5614 -4.9676 -2.6925
4.4866 -4.7039 -0.5161
2.5930 -1.0186 -0.0465
0.6679 -1.2823 -2.2229
-1.1889 -1.6360 -4.5374
3.2813 -3.0808 1.9976
6.3433 -4.3502 1.7984
3.7763 -2.4881 -2.2455
1.3781 -3.4981 -0.4935
5.7025 -2.2857 -0.2013
-0.5480 -3.7005 -2.5377

***

Sequential formation energy from the elements output: -0.054; -0.107 eV/atom